Entry 1:
{
  "formula": "Ta2SO",
  "functional": "GGA-PBE",
  "state": "optimized geometry",
  "cell": [[0.0000, 2.9764, 2.9764], [2.9764, 0.0000, 2.9764], [2.9764, 2.9764, 0.0000]],
  "species": ["S", "O", "Ta", "Ta"],
  "frac_coords": [[0.5000, 0.5000, 0.5000], [0.0000, 0.0000, 0.0000], [0.2500, 0.2500, 0.2500], [0.7500, 0.7500, 0.7500]],
  "formation_energy_uncorrected_ev_per_fu": -2.0,
  "relative_energy_mev_per_atom": 266,
  "sg": "Fm-3m, No. 225",
  "crystal_system": "cubic"
}

Entry 2:
{
  "formula": "Tb2Pr6YHo3",
  "functional": "GGA-PBE",
  "state": "optimized geometry",
  "cell": [[-5.0671, 0.8620, 3.6641], [4.7741, -3.6053, 2.0135], [5.1693, 10.3104, 2.9157]],
  "species": ["Tb", "Tb", "Pr", "Pr", "Pr", "Pr", "Pr", "Pr", "Y", "Ho", "Ho", "Ho"],
  "frac_coords": [[0.3334, 0.6666, 0.0000], [0.6666, 0.3334, 0.0000], [0.9160, 0.5820, 0.7489], [0.7500, 0.7500, 0.2514], [0.0840, 0.4180, 0.2511], [0.5820, 0.9160, 0.7489], [0.2500, 0.2500, 0.7486], [0.4180, 0.0840, 0.2511], [0.0000, 0.0000, 0.0000], [0.1667, 0.8333, 0.5000], [0.8333, 0.1667, 0.5000], [0.5000, 0.5000, 0.5000]],
  "delta_e_f_mev_per_atom": 11,
  "sg": "C2/m, No. 12",
  "crystal_system": "monoclinic"
}

Entry 3:
{
  "formula": "HgRhCl2",
  "functional": "GGA-PBE",
  "state": "optimized geometry",
  "cell": [[-2.5386, 3.6804, -2.0550], [1.0988, -3.8517, -3.0256], [-4.4757, -1.1833, -1.3427]],
  "species": ["Rh", "Hg", "Cl", "Cl"],
  "frac_coords": [[0.5000, 0.0000, 0.5000], [0.5000, 0.5000, 0.0000], [0.0000, 0.0000, 0.0000], [0.0000, 0.5000, 0.5000]],
  "formation_energy_uncorrected_ev_per_fu": 1.0,
  "relative_energy_mev_per_atom": 550,
  "sg": "C2/m, No. 12",
  "crystal_system": "monoclinic"
}

Entry 4:
{
  "formula": "SmLuIn2",
  "functional": "GGA-PBE",
  "state": "optimized geometry",
  "cell": [[3.6766, 0.0000, 0.0000], [1.8383, 3.1840, 0.0000], [1.8383, 1.0613, 9.7712]],
  "species": ["Lu", "Sm", "In", "In"],
  "frac_coords": [[0.0000, 0.0000, 0.0000], [0.5000, 0.5000, 0.5000], [0.7475, 0.7475, 0.7576], [0.2525, 0.2525, 0.2424]],
  "delta_e_f_mev_per_atom": -300,
  "relative_energy_mev_per_atom": 146,
  "sg": "R-3m, No. 166",
  "crystal_system": "trigonal"
}

Entry 5:
{
  "formula": "Sc4Ta",
  "functional": "GGA-PBE",
  "state": "optimized geometry",
  "cell": [[-4.6017, -1.4521, 1.7472], [-0.4646, -3.2619, -3.9346], [2.2238, -3.6862, 2.7934]],
  "species": ["Sc", "Sc", "Sc", "Sc", "Ta"],
  "frac_coords": [[0.0000, 0.0000, 0.0000], [0.5000, 0.0000, 0.5000], [0.0000, 0.5000, 0.5000], [0.5000, 0.5000, 0.0000], [0.5000, 0.5000, 0.5000]],
  "delta_e_f_mev_per_atom": 649,
  "relative_energy_mev_per_atom": 520,
  "sg": "Pm-3m, No. 221",
  "crystal_system": "cubic"
}

Entry 6:
{
  "formula": "KPtBr4",
  "functional": "GGA-PBE",
  "state": "optimized geometry",
  "cell": [[-4.9869, -2.9780, -0.7241], [-0.3821, -4.0571, -4.2019], [2.9406, -12.1261, 7.6560]],
  "species": ["K", "K", "Pt", "Pt", "Br", "Br", "Br", "Br", "Br", "Br", "Br", "Br"],
  "frac_coords": [[0.5000, 0.0000, 0.5000], [0.0000, 0.5000, 0.0000], [0.2496, 0.7504, 0.2500], [0.7504, 0.2496, 0.7500], [0.9899, 0.4890, 0.7505], [0.1936, 0.6941, 0.4226], [0.8064, 0.3059, 0.5774], [0.4890, 0.9899, 0.2505], [0.5110, 0.0101, 0.7495], [0.3059, 0.8064, 0.0774], [0.6941, 0.1936, 0.9226], [0.0101, 0.5110, 0.2495]],
  "formation_energy_uncorrected_ev_per_fu": -4.1,
  "relative_energy_mev_per_atom": 0,
  "sg": "C2/m, No. 12",
  "crystal_system": "monoclinic"
}

Entry 7:
{
  "formula": "BaNdGaAg",
  "functional": "GGA-PBE",
  "state": "optimized geometry",
  "cell": [[-3.6366, 0.4513, 4.1357], [-3.8351, -3.9075, 0.7455], [0.3243, -3.3957, 4.3470]],
  "species": ["Ga", "Nd", "Ba", "Ag"],
  "frac_coords": [[0.7500, 0.7500, 0.7500], [0.0000, 0.0000, 0.0000], [0.5000, 0.5000, 0.5000], [0.2500, 0.2500, 0.2500]],
  "delta_e_f_mev_per_atom": -233,
  "sg": "F-43m, No. 216",
  "crystal_system": "cubic"
}

Entry 8:
{
  "formula": "MnTeRu2",
  "functional": "GGA-PBE",
  "state": "optimized geometry",
  "cell": [[4.3895, 0.0000, 0.0000], [0.0000, 2.9821, 0.0373], [0.0000, 0.1397, 4.9543]],
  "species": ["Mn", "Ru", "Ru", "Te"],
  "frac_coords": [[0.5000, 0.7500, 0.7500], [0.0000, 0.0185, 0.9829], [0.0000, 0.4815, 0.5171], [0.5000, 0.2500, 0.2500]],
  "formation_energy_uncorrected_ev_per_fu": 1.7,
  "sg": "P2/m, No. 10",
  "crystal_system": "monoclinic"
}

Entry 9:
{
  "formula": "YAs2WI",
  "functional": "GGA-PBE",
  "state": "optimized geometry",
  "cell": [[5.3256, 0.0000, 0.0000], [0.0000, 5.8443, 0.0000], [0.0000, 0.0000, 5.3256]],
  "species": ["I", "Y", "As", "As", "W"],
  "frac_coords": [[0.5000, 0.5000, 0.5000], [0.0000, 0.0000, 0.0000], [0.0000, 0.0000, 0.5000], [0.5000, 0.0000, 0.0000], [0.0000, 0.5000, 0.0000]],
  "formation_energy_uncorrected_ev_per_fu": 7.1,
  "sg": "P4/mmm, No. 123",
  "crystal_system": "tetragonal"
}

Entry 10:
{
  "formula": "PuThZr2",
  "functional": "GGA-PBE",
  "state": "optimized geometry",
  "cell": [[3.3685, 0.0010, 0.0019], [1.6851, 2.9167, 0.0019], [1.6907, 0.9761, 10.6636]],
  "species": ["Pu", "Th", "Zr", "Zr"],
  "frac_coords": [[0.5000, 0.5000, 0.4996], [0.6665, 0.6665, 0.0005], [0.0857, 0.0857, 0.7431], [0.2478, 0.2478, 0.2567]],
  "delta_e_f_mev_per_atom": 181,
  "relative_energy_mev_per_atom": 72,
  "sg": "Cm, No. 8",
  "crystal_system": "monoclinic"
}

Entry 11:
{
  "formula": "BaAs2Ir",
  "functional": "GGA-PBE",
  "state": "optimized geometry",
  "cell": [[4.0856, -0.6533, 0.3197], [2.6041, 3.2153, 0.3197], [1.6985, 0.6505, 6.5997]],
  "species": ["As", "As", "Ir", "Ba"],
  "frac_coords": [[0.9506, 0.9506, 0.1490], [0.7153, 0.7153, 0.8526], [0.3267, 0.3267, 0.0194], [0.5074, 0.5074, 0.4790]],
  "delta_e_f_mev_per_atom": -629,
  "sg": "Cm, No. 8",
  "crystal_system": "monoclinic"
}

Entry 12:
{
  "formula": "KTl2Ru",
  "functional": "GGA-PBE",
  "state": "optimized geometry",
  "cell": [[-0.2052, -2.2282, 2.4974], [0.4504, -2.4976, -2.1916], [8.7823, 0.5331, 1.1972]],
  "species": ["K", "Ru", "Tl", "Tl"],
  "frac_coords": [[0.5000, 0.5000, 0.2500], [0.5000, 0.5000, 0.7500], [0.0000, 0.0000, 0.9408], [0.0000, 0.0000, 0.5592]],
  "delta_e_f_mev_per_atom": 322,
  "sg": "P4/mmm, No. 123",
  "crystal_system": "tetragonal"
}

Entry 13:
{
  "formula": "K2NpUS6",
  "functional": "GGA-PBE",
  "state": "optimized geometry",
  "cell": [[7.2964, 0.0000, -0.0248], [0.0000, 7.3001, 0.0001], [0.0326, 0.0001, 10.3358]],
  "species": ["K", "K", "K", "K", "Np", "Np", "U", "U", "S", "S", "S", "S", "S", "S", "S", "S", "S", "S", "S", "S"],
  "frac_coords": [[0.0019, 0.9869, 0.2499], [0.5019, 0.5131, 0.7500], [0.9981, 0.0131, 0.7501], [0.4981, 0.4869, 0.2500], [0.5000, 0.0000, 0.0000], [0.0000, 0.5000, 0.5000], [0.5000, 0.0000, 0.5000], [0.0000, 0.5000, 0.0000], [0.2692, 0.7260, 0.0175], [0.7691, 0.7741, 0.5175], [0.7308, 0.2740, 0.9825], [0.2309, 0.2259, 0.4825], [0.2741, 0.7308, 0.4826], [0.7741, 0.7693, 0.9826], [0.7259, 0.2692, 0.5174], [0.2259, 0.2307, 0.0174], [0.9657, 0.5028, 0.2476], [0.4657, 0.9972, 0.7476], [0.0343, 0.4972, 0.7524], [0.5343, 0.0028, 0.2524]],
  "formation_energy_uncorrected_ev_per_fu": -12.7,
  "sg": "P2_1/c, No. 14",
  "crystal_system": "monoclinic"
}

Entry 14:
{
  "formula": "Gd2GaCo",
  "functional": "GGA-PBE",
  "state": "optimized geometry",
  "cell": [[3.4811, 0.0000, 0.0000], [0.0000, 3.4811, 0.0000], [0.0000, 0.0000, 7.1284]],
  "species": ["Gd", "Gd", "Co", "Ga"],
  "frac_coords": [[0.0000, 0.0000, 0.7682], [0.0000, 0.0000, 0.2318], [0.5000, 0.5000, 0.0000], [0.5000, 0.5000, 0.5000]],
  "delta_e_f_mev_per_atom": -347,
  "relative_energy_mev_per_atom": 0,
  "sg": "P4/mmm, No. 123",
  "crystal_system": "tetragonal"
}

Entry 15:
{
  "formula": "CdFe2Re",
  "functional": "GGA-PBE",
  "state": "optimized geometry",
  "cell": [[-1.5670, 3.8587, 1.7906], [-4.0348, -1.9528, 0.6770], [0.8313, -0.8387, 2.5349]],
  "species": ["Cd", "Fe", "Fe", "Re"],
  "frac_coords": [[0.0000, 0.5000, 0.5000], [0.0000, 0.0000, 0.0000], [0.5000, 0.5000, 0.0000], [0.5000, 0.0000, 0.5000]],
  "delta_e_f_mev_per_atom": 465,
  "sg": "P4/mmm, No. 123",
  "crystal_system": "tetragonal"
}

Entry 16:
{
  "formula": "TbY4Pu",
  "functional": "GGA-PBE",
  "state": "optimized geometry",
  "cell": [[3.4065, -0.2863, -0.9076], [-1.7194, 8.8881, -2.3876], [-1.8434, -1.8948, 7.4853]],
  "species": ["Tb", "Y", "Y", "Y", "Y", "Pu"],
  "frac_coords": [[0.0000, 0.0000, 0.0000], [0.8345, 0.6688, 0.4999], [0.1655, 0.3311, 0.5001], [0.3440, 0.6734, 0.0075], [0.6559, 0.3265, 0.9925], [0.5000, 0.0000, 0.5000]],
  "delta_e_f_mev_per_atom": 76,
  "sg": "C2/m, No. 12",
  "crystal_system": "monoclinic"
}

Entry 17:
{
  "formula": "Pr3AlB2Pt9",
  "functional": "GGA-PBE",
  "state": "optimized geometry",
  "cell": [[5.8448, 0.0000, 0.0000], [-2.9224, 5.0618, 0.0000], [0.0000, 0.0000, 9.2286]],
  "species": ["Pr", "Pr", "Pr", "Al", "B", "B", "Pt", "Pt", "Pt", "Pt", "Pt", "Pt", "Pt", "Pt", "Pt"],
  "frac_coords": [[0.3333, 0.6667, 0.6112], [0.0000, 0.0000, 0.0000], [0.6667, 0.3333, 0.3888], [0.0000, 0.0000, 0.5000], [0.3333, 0.6667, 0.1492], [0.6667, 0.3333, 0.8508], [0.8352, 0.1648, 0.7114], [0.8352, 0.6704, 0.7114], [0.3296, 0.1648, 0.7114], [0.6704, 0.8352, 0.2886], [0.1648, 0.3296, 0.2886], [0.1648, 0.8352, 0.2886], [0.5000, 0.0000, 0.0000], [0.0000, 0.5000, 0.0000], [0.5000, 0.5000, 0.0000]],
  "delta_e_f_mev_per_atom": -849,
  "sg": "P-3m1, No. 164",
  "crystal_system": "trigonal"
}

Entry 18:
{
  "formula": "PmMgGa2Ag",
  "functional": "GGA-PBE",
  "state": "optimized geometry",
  "cell": [[-0.4790, -0.5258, 5.9897], [5.6486, -1.3392, 0.3341], [1.3604, 5.8942, 0.6262]],
  "species": ["Pm", "Pm", "Mg", "Mg", "Ga", "Ga", "Ga", "Ga", "Ag", "Ag"],
  "frac_coords": [[0.2305, 0.2500, 0.5000], [0.7695, 0.7500, 0.5000], [0.5999, 0.7500, 0.0000], [0.4001, 0.2500, 0.0000], [0.7462, 0.2500, 0.7120], [0.7462, 0.2500, 0.2880], [0.2538, 0.7500, 0.7120], [0.2538, 0.7500, 0.2880], [0.0000, 0.0000, 0.0000], [0.0000, 0.5000, 0.0000]],
  "delta_e_f_mev_per_atom": -297,
  "sg": "Pmma, No. 51",
  "crystal_system": "orthorhombic"
}

Entry 19:
{
  "formula": "Ga2Hg2P",
  "functional": "GGA-PBE",
  "state": "optimized geometry",
  "cell": [[-0.2552, -1.2355, -7.0744], [-0.4644, -7.0612, 1.2500], [-4.4093, 0.3086, 0.1052]],
  "species": ["P", "P", "Hg", "Hg", "Hg", "Hg", "Ga", "Ga", "Ga", "Ga"],
  "frac_coords": [[0.0000, 0.0000, 0.0000], [0.5000, 0.5000, 0.0000], [0.3523, 0.8523, 0.0000], [0.8523, 0.6477, 0.0000], [0.6477, 0.1477, 0.0000], [0.1477, 0.3523, 0.0000], [0.1636, 0.6636, 0.5000], [0.6636, 0.8364, 0.5000], [0.8364, 0.3364, 0.5000], [0.3364, 0.1636, 0.5000]],
  "delta_e_f_mev_per_atom": 316,
  "relative_energy_mev_per_atom": 211,
  "sg": "P4/mbm, No. 127",
  "crystal_system": "tetragonal"
}

Entry 20:
{
  "formula": "Re2Ir2W",
  "functional": "GGA-PBE",
  "state": "optimized geometry",
  "cell": [[3.6624, 0.0001, 1.4250], [1.0560, 3.8144, 2.7105], [-1.6856, -0.5220, 9.7749]],
  "species": ["Re", "Re", "Re", "Re", "Ir", "Ir", "Ir", "Ir", "W", "W"],
  "frac_coords": [[0.8490, 0.7554, 0.5471], [0.1510, 0.2446, 0.4529], [0.4484, 0.7460, 0.3570], [0.5516, 0.2540, 0.6430], [0.2480, 0.7539, 0.7498], [0.7520, 0.2461, 0.2502], [0.9483, 0.2498, 0.8527], [0.0517, 0.7502, 0.1473], [0.6460, 0.7661, 0.9405], [0.3540, 0.2339, 0.0595]],
  "delta_e_f_mev_per_atom": -103,
  "relative_energy_mev_per_atom": 0,
  "sg": "P-1, No. 2",
  "crystal_system": "triclinic"
}

What did we get for DFT total energy? Answer: -8.69; -4.83; -2.58; -3.98; -6.79; -2.98; -3.38; -7.29; -4.64; -9.53; -5.65; -3.45; -6.39; -9.92; -7.11; -7.39; -6.57; -3.35; -2.10; -11.22 eV per atom, in the order shown.
What did we get for mass density? Answer: 12.9; 7.2; 7.0; 8.1; 4.4; 4.3; 6.4; 9.9; 5.5; 10.4; 8.3; 9.1; 4.5; 8.5; 11.9; 6.7; 13.5; 6.5; 8.3; 20.8 g/cm3, in the order shown.